1.
Computed, not measured: a geometry-optimized Mn2AgMo structure at the PBE level of DFT.

Output
D(E_F), states/eV per cell: 4.20
ΔH_f (0 K), eV/atom: 0.3822
ΔE to the lowest computed polymorph, meV per atom: 96
Crystal system: orthorhombic

The structure in extended XYZ format:
```
4
Lattice="-1.579 -0.869 2.029 2.232 -3.085 0.415 3.202 2.813 3.696" Properties=species:S:1:pos:R:3 pbc="T T T"
Ag 2.760 0.161 4.032
Mn 0.087 0.076 0.101
Mn 1.106 -1.293 2.121
Mo 1.502 1.320 1.734
```

---

2.
Computed, not measured: a geometry-optimized K3LiCe2Se6 structure at the PBE level of DFT.

Output
Formation energy without anion corrections, eV/f.u.: -17.98
Crystal system: monoclinic

The structure in extended XYZ format:
```
12
Lattice="-6.720 -3.109 -0.084 5.904 -3.996 2.003 -0.779 4.430 6.592" Properties=species:S:1:pos:R:3 pbc="T T T"
K 3.474 -1.637 4.962
K -5.069 -1.037 3.549
K -0.798 -1.337 4.255
Li 0.000 0.000 0.000
Ce 1.701 -3.701 1.308
Ce -2.518 -3.404 0.611
Se -3.417 -1.717 6.347
Se -0.748 -4.247 2.718
Se 1.822 -0.958 2.163
Se 0.936 -2.023 7.067
Se -0.847 1.573 5.793
Se -2.532 -0.652 1.444
```

---

3.
Computed, not measured: a geometry-optimized LaCoB2Ru structure at the PBE level of DFT.

Output
D(E_F), states/eV per cell: 1.68
ΔH_f (0 K), eV/atom: -0.4717
Crystal system: tetragonal

The structure in extended XYZ format:
```
5
Lattice="-3.173 -0.646 -2.017 2.106 -1.359 -2.877 0.228 -3.640 4.416" Properties=species:S:1:pos:R:3 pbc="T T T"
La 0.000 0.000 0.000
Co -1.740 -2.644 -0.024
B -0.639 -2.598 -1.771
B -0.201 -3.047 1.292
Ru 0.900 -3.001 -0.454
```

---

4.
Computed, not measured: a geometry-optimized RePbW2 structure at the PBE level of DFT.

Output
D(E_F), states/eV per cell: 3.92
ΔH_f (0 K), eV/atom: 0.9286
Crystal system: orthorhombic

The structure in extended XYZ format:
```
4
Lattice="-2.886 -1.489 0.538 1.415 -1.238 4.168 -1.704 3.934 1.747" Properties=species:S:1:pos:R:3 pbc="T T T"
Pb -2.295 1.222 1.142
Re -0.144 1.348 2.958
W 0.000 0.000 0.000
W -0.736 -1.364 2.353
```

---

5.
Computed, not measured: a geometry-optimized RuPbBr structure at the PBE level of DFT.

Output
D(E_F), states/eV per cell: 2.96
Formation energy without anion corrections, eV/f.u.: 1.43
ΔE to the lowest computed polymorph, meV per atom: 79
Crystal system: tetragonal

The structure in extended XYZ format:
```
3
Lattice="-1.358 2.985 6.148 -5.321 2.224 3.909 3.187 -4.689 -4.050" Properties=species:S:1:pos:R:3 pbc="T T T"
Pb -2.015 1.571 3.034
Ru -4.379 3.415 6.594
Br -0.285 0.222 0.429
```

---

6.
Computed, not measured: a geometry-optimized SnGe2I2 structure at the PBE level of DFT.

Output
D(E_F), states/eV per cell: 4.51
Formation energy without anion corrections, eV/f.u.: 2.21
ΔE to the lowest computed polymorph, meV per atom: 311
Crystal system: tetragonal

The structure in extended XYZ format:
```
10
Lattice="9.062 0.000 0.000 0.000 9.062 0.000 0.000 0.000 3.686" Properties=species:S:1:pos:R:3 pbc="T T T"
I 3.289 7.820 0.000
I 7.820 5.773 0.000
I 5.773 1.242 0.000
I 1.242 3.289 0.000
Ge 1.739 6.269 1.843
Ge 6.269 7.323 1.843
Ge 7.323 2.792 1.843
Ge 2.792 1.739 1.843
Sn 0.000 0.000 0.000
Sn 4.531 4.531 0.000
```